Material: Ac3PrRh3
Method: DFT, PBE-GGA
State: optimized geometry

Summary:
E_form (meV/atom): -503
Spin magnetization (μB per atom): 0.000
VASP energy (eV per atom): -6.097
Energy relative to the lowest polymorph listed for this composition (meV/atom): 105
Symmetry: R3m

a b c (Å): 6.2200 6.2200 6.2200
angles (deg): 107.91 107.91 107.91
Closest atoms and distances in Å follow each position.
Element x y z (fractional)
Ac 0.1917 0.1917 0.6165  5 Rh 3.02-3.27
Ac 0.1917 0.6165 0.1917  5 Rh 3.02-3.27
Ac 0.6165 0.1917 0.1917  5 Rh 3.02-3.27
Pr 0.7586 0.7586 0.7586  6 Rh 3.05-3.20
Rh 0.2140 0.7054 0.7054  5 Ac 3.02-3.27, 2 Pr 3.05-3.20
Rh 0.7054 0.2140 0.7054  5 Ac 3.02-3.27, 2 Pr 3.05-3.20
Rh 0.7054 0.7054 0.2140  5 Ac 3.02-3.27, 2 Pr 3.05-3.20